# 1
Material: LiRe2Hg
Method: DFT, PBE
State: optimized geometry

CIF file:
```
data_LiRe2Hg
_chemical_formula_sum 'Li1 Re2 Hg1'
_space_group_name_H-M_alt 'P 4 m m'
_space_group_IT_number 99
_cell_length_a 3.0905
_cell_length_b 3.0905
_cell_length_c 6.6757
_cell_angle_alpha 90.00
_cell_angle_beta 90.00
_cell_angle_gamma 90.00
loop_
_space_group_symop_operation_xyz
'x,y,z'
'-y,x,z'
'-x,-y,z'
'y,-x,z'
'-x,y,z'
'y,x,z'
'x,-y,z'
'-y,-x,z'
loop_
_atom_site_label
_atom_site_type_symbol
_atom_site_fract_x
_atom_site_fract_y
_atom_site_fract_z
_atom_site_occupancy
Li1 Li 0.0000 0.0000 0.0000 1
Re1 Re 0.0000 0.0000 0.4457 1
Re2 Re 0.5000 0.5000 0.2478 1
Hg1 Hg 0.5000 0.5000 0.7742 1
```

size of the total moment	0.00	Bohr magnetons per cell
DFT formation energy	0.23	eV per atom
E	-26.2	eV per cell

# 2
Material: LiReHg2
Method: DFT, PBE
State: optimized geometry

CIF file:
```
data_LiReHg2
_chemical_formula_sum 'Li2 Re2 Hg4'
_space_group_name_H-M_alt 'C m m m'
_space_group_IT_number 65
_space_group_name_Hall '-C 2 2'
_cell_length_a 6.3495
_cell_length_b 7.5981
_cell_length_c 2.9072
_cell_angle_alpha 90.00
_cell_angle_beta 90.00
_cell_angle_gamma 90.00
loop_
_atom_site_label
_atom_site_type_symbol
_atom_site_fract_x
_atom_site_fract_y
_atom_site_fract_z
_atom_site_occupancy
Li1 Li 0.0000 0.0000 0.0000 1
Re1 Re 0.0000 0.5000 0.0000 1
Hg1 Hg 0.2500 0.2500 0.5000 1
```

size of the total moment	0.00	Bohr magnetons per cell
DFT formation energy	0.33	eV per atom
E	-27.3	eV per cell
distance to the lowest polymorph of the same formula	0.006	eV per atom

# 3
Material: Li2ReHg
Method: DFT, PBE
State: optimized geometry

CIF file:
```
data_Li2ReHg
_chemical_formula_sum 'Li4 Re2 Hg2'
_space_group_name_H-M_alt 'I m m m'
_space_group_IT_number 71
_space_group_name_Hall '-I 2 2'
_cell_length_a 2.7401
_cell_length_b 4.9767
_cell_length_c 9.6087
_cell_angle_alpha 90.00
_cell_angle_beta 90.00
_cell_angle_gamma 90.00
loop_
_atom_site_label
_atom_site_type_symbol
_atom_site_fract_x
_atom_site_fract_y
_atom_site_fract_z
_atom_site_occupancy
Li1 Li 0.0000 0.0000 0.2496 1
Re1 Re 0.0000 0.5000 0.0000 1
Hg1 Hg 0.0000 0.5000 0.5000 1
```

size of the total moment	0.89	Bohr magnetons per cell
DFT formation energy	0.39	eV per atom
E	-30.0	eV per cell

# 4
Material: LiReHg2
Method: DFT, PBE
State: optimized geometry

CIF file:
```
data_LiReHg2
_chemical_formula_sum 'Li2 Re2 Hg4'
_space_group_name_H-M_alt 'I -4 m 2'
_space_group_IT_number 119
_space_group_name_Hall 'I -4 -2'
_cell_length_a 3.9851
_cell_length_b 3.9851
_cell_length_c 8.9806
_cell_angle_alpha 90.00
_cell_angle_beta 90.00
_cell_angle_gamma 90.00
loop_
_atom_site_label
_atom_site_type_symbol
_atom_site_fract_x
_atom_site_fract_y
_atom_site_fract_z
_atom_site_occupancy
Li1 Li 0.0000 0.0000 0.0000 1
Re1 Re 0.0000 0.5000 0.7500 1
Hg1 Hg 0.0000 0.0000 0.5000 1
Hg2 Hg 0.0000 0.5000 0.2500 1
```

size of the total moment	0.00	Bohr magnetons per cell
DFT formation energy	0.68	eV per atom
E	-24.5	eV per cell
distance to the lowest polymorph of the same formula	0.357	eV per atom